Record 1
Entry from Alexandria via LeMat-Bulk: Ce2ThPd9 after structural relaxation (PBE-GGA).

Lattice parameters (Å, degrees): 4.186 4.186 12.548 90.00 90.00 90.00
Element x y z (fractional)
Ce: 0.000 0.000 0.164
Ce: 0.000 0.000 0.836
Th: 0.000 0.000 0.500
Pd: 0.000 0.500 0.000
Pd: 0.000 0.500 0.333
Pd: 0.000 0.500 0.667
Pd: 0.500 0.000 0.000
Pd: 0.500 0.000 0.333
Pd: 0.500 0.000 0.667
Pd: 0.500 0.500 0.167
Pd: 0.500 0.500 0.500
Pd: 0.500 0.500 0.833

**E_tot**: -76.331 eV for the cell shown
**Calculated volume**: 219.9 Å³/cell
**Theoretical density**: 11.10 Mg/m³
**ΔH_f (0 K)**: -0.859 eV per atom
**Total moment**: 1.13 Bohr magnetons per cell

Record 2
Entry from Alexandria via LeMat-Bulk: Ca2AcInTe4 after structural relaxation (PBE-GGA).

Lattice parameters (Å, degrees): 8.031 4.669 8.095 90.00 108.76 90.00
Element x y z (fractional)
Ca: 0.000 0.000 0.000
Ca: 0.000 0.500 0.500
Ac: 0.500 0.000 0.500
In: 0.500 0.500 0.000
Te: 0.233 0.000 0.738
Te: 0.238 0.500 0.249
Te: 0.762 0.500 0.751
Te: 0.767 0.000 0.262

**E_tot**: -33.934 eV for the cell shown
**Calculated volume**: 287.4 Å³/cell
**Raw formation energy**: -1.315 eV per atom
**Theoretical density**: 5.39 Mg/m³
**Total moment**: 0.00 Bohr magnetons per cell

Record 3
Entry from Alexandria via LeMat-Bulk: CuAsAu2Br after structural relaxation (PBE-GGA).

Lattice parameters (Å, degrees): 5.060 5.060 4.403 90.00 90.00 90.00
Element x y z (fractional)
Cu: 0.000 0.000 0.000
As: 0.000 0.000 0.500
Au: 0.000 0.500 0.000
Au: 0.500 0.000 0.000
Br: 0.500 0.500 0.500

**E_tot**: -14.297 eV for the cell shown
**Calculated volume**: 112.7 Å³/cell
**Raw formation energy**: 0.535 eV per atom
**Theoretical density**: 9.02 Mg/m³
**Total moment**: 0.00 Bohr magnetons per cell

Record 4
Entry from Alexandria via LeMat-Bulk: TlAsPd2 after structural relaxation (PBE-GGA).

Lattice parameters (Å, degrees): 3.254 3.254 6.893 90.00 90.00 90.00
Element x y z (fractional)
Tl: 0.000 0.000 0.000
As: 0.000 0.000 0.500
Pd: 0.500 0.500 0.289
Pd: 0.500 0.500 0.711

**E_tot**: -17.996 eV for the cell shown
**Calculated volume**: 73.0 Å³/cell
**Theoretical density**: 11.19 Mg/m³
**ΔH_f (0 K)**: -0.149 eV per atom
**Total moment**: 0.00 Bohr magnetons per cell

Question: The highest calculated volume belongs to which entry?
Answer: Ca2AcInTe4